Gd2TmPa | PBE | relaxed Values from VASP.

ΔE to the lowest computed polymorph   187 meV/atom
Formation energy from the elements   0.32 eV per atom
Space-group type   Fm-3m (225)

Quantum ESPRESSO input file:
```
&SYSTEM
  ibrav = 0, nat = 4, ntyp = 3
/
ATOMIC_SPECIES
Gd 157.25 Gd.upf
Tm 168.93 Tm.upf
Pa 231.04 Pa.upf
CELL_PARAMETERS angstrom
0.000 3.935 3.935
3.935 0.000 3.935
3.935 3.935 0.000
ATOMIC_POSITIONS angstrom
Gd 1.967 1.967 1.967
Gd 5.902 5.902 5.902
Tm 0.000 0.000 0.000
Pa 3.935 3.935 3.935
```